4
Lattice="-1.566 3.859 -0.253 -2.098 1.638 3.213 4.762 4.367 3.529" Properties=species:S:1:pos:R:3 comment="CdTe2P (GGA-PBE, relaxed)" e_tot_ev_per_atom=-3.083 polymorph_energy_ev_per_fu=0.194 sg="No. 12" pbc="T T T"
Cd 0.275 2.466 1.622
P 0.824 7.398 4.867
Te 4.608 4.312 3.470
Te 0.703 4.988 3.304